## Na2VP2O8 (PBE+U)

Data for Na2VP2O8 after structural relaxation.

Geometry as CIF:
```
data_Na2VP2O8
_chemical_formula_sum 'Na8 V4 P8 O32'
_symmetry_space_group_name_H-M 'P 1'
_symmetry_Int_Tables_number 1
_cell_length_a 7.8208
_cell_length_b 13.6126
_cell_length_c 6.3715
_cell_angle_alpha 90.00
_cell_angle_beta 99.74
_cell_angle_gamma 90.00
loop_
_symmetry_equiv_pos_as_xyz
'x,y,z'
loop_
_atom_site_label
_atom_site_type_symbol
_atom_site_fract_x
_atom_site_fract_y
_atom_site_fract_z
_atom_site_occupancy
Na1 Na 0.0295 0.1320 0.4383 1
Na2 Na 0.0295 0.3680 0.9383 1
Na3 Na 0.4365 0.2126 0.3412 1
Na4 Na 0.4365 0.2874 0.8412 1
Na5 Na 0.5635 0.7126 0.1588 1
Na6 Na 0.5635 0.7874 0.6588 1
Na7 Na 0.9705 0.6320 0.0617 1
Na8 Na 0.9705 0.8680 0.5617 1
V1 V 0.2718 0.5739 0.7311 1
V2 V 0.2718 0.9261 0.2311 1
V3 V 0.7282 0.0739 0.7689 1
V4 V 0.7282 0.4261 0.2689 1
P1 P 0.1414 0.1332 0.9591 1
P2 P 0.1414 0.3668 0.4591 1
P3 P 0.3269 0.5184 0.2503 1
P4 P 0.3269 0.9816 0.7503 1
P5 P 0.6731 0.0184 0.2497 1
P6 P 0.6731 0.4816 0.7497 1
P7 P 0.8586 0.6332 0.5409 1
P8 P 0.8586 0.8668 0.0409 1
O1 O 0.0327 0.6375 0.6957 1
O2 O 0.0327 0.8625 0.1957 1
O3 O 0.1395 0.0628 0.1460 1
O4 O 0.1395 0.4372 0.6460 1
O5 O 0.2134 0.2339 0.0255 1
O6 O 0.2134 0.2661 0.5255 1
O7 O 0.2165 0.5348 0.0284 1
O8 O 0.2165 0.9652 0.5284 1
O9 O 0.2689 0.5894 0.4115 1
O10 O 0.2689 0.9106 0.9115 1
O11 O 0.2825 0.0917 0.8159 1
O12 O 0.2825 0.4083 0.3159 1
O13 O 0.3906 0.6722 0.8147 1
O14 O 0.3906 0.8278 0.3147 1
O15 O 0.4790 0.0235 0.2553 1
O16 O 0.4790 0.4765 0.7553 1
O17 O 0.5210 0.5235 0.2447 1
O18 O 0.5210 0.9765 0.7447 1
O19 O 0.6094 0.1722 0.6853 1
O20 O 0.6094 0.3278 0.1853 1
O21 O 0.7175 0.5917 0.6841 1
O22 O 0.7175 0.9083 0.1841 1
O23 O 0.7311 0.0894 0.0885 1
O24 O 0.7311 0.4106 0.5885 1
O25 O 0.7835 0.0348 0.4716 1
O26 O 0.7835 0.4652 0.9716 1
O27 O 0.7866 0.7339 0.4745 1
O28 O 0.7866 0.7661 0.9745 1
O29 O 0.8605 0.5628 0.3540 1
O30 O 0.8605 0.9372 0.8540 1
O31 O 0.9673 0.1375 0.8043 1
O32 O 0.9673 0.3625 0.3043 1
```

excess energy over the best structure of this formula in the dataset	0	meV/atom
D(E_F)	0.00	states/eV/f.u.
crystal system	monoclinic
spin magnetization	4.0	Bohr magnetons per cell